No. 1
Entry from Alexandria: an optimized crystal structure of Ce2HgOs (PBE).

total magnetic moment	0.607	μB/f.u.
theoretical density	10.2	g/cm3

Structure (POSCAR):
```
Ce2HgOs
1.0
4.051 0.000 0.000
2.026 3.508 0.000
2.026 1.169 7.704
Os Hg Ce
1 1 2
Direct
0.000 0.000 0.000 Os
0.500 0.500 0.500 Hg
0.732 0.732 0.804 Ce
0.268 0.268 0.196 Ce
```

No. 2
Entry from Alexandria: an optimized crystal structure of Ce12Hg6Os (PBE).

total magnetic moment	3.684	μB/f.u.
theoretical density	10.3	g/cm3

Structure (POSCAR):
```
Ce12Hg6Os
1.0
7.855 0.590 0.707
-0.608 7.854 0.707
-0.608 -0.708 7.854
Ce Hg Os
12 6 1
Direct
0.771 0.508 0.415 Ce
0.415 0.771 0.508 Ce
0.508 0.415 0.771 Ce
0.229 0.492 0.585 Ce
0.585 0.229 0.492 Ce
0.492 0.585 0.229 Ce
0.058 0.139 0.343 Ce
0.861 0.657 0.942 Ce
0.657 0.942 0.861 Ce
0.942 0.861 0.657 Ce
0.139 0.343 0.058 Ce
0.343 0.058 0.139 Ce
0.732 0.907 0.272 Hg
0.728 0.268 0.093 Hg
0.093 0.728 0.268 Hg
0.268 0.093 0.728 Hg
0.272 0.732 0.907 Hg
0.907 0.272 0.732 Hg
0.000 0.000 0.000 Os
```

No. 3
Entry from Alexandria: an optimized crystal structure of Ce3Hg2Os (PBE).

total magnetic moment	0.722	μB/f.u.
theoretical density	11.2	g/cm3

Structure (POSCAR):
```
Ce3Hg2Os
1.0
-1.889 1.557 4.471
-7.663 -2.104 0.400
2.035 -6.800 3.229
Ce Hg Os
6 4 2
Direct
0.810 0.380 0.798 Ce
0.500 0.000 0.233 Ce
0.190 0.620 0.202 Ce
0.810 0.380 0.202 Ce
0.190 0.620 0.798 Ce
0.500 0.000 0.767 Ce
0.000 0.000 0.000 Hg
0.000 0.000 0.500 Hg
0.337 0.325 0.500 Hg
0.663 0.675 0.500 Hg
0.354 0.291 0.000 Os
0.646 0.709 0.000 Os
```

No. 4
Entry from Alexandria: an optimized crystal structure of Ce2HgOs (PBE).

total magnetic moment	0.583	μB/f.u.
theoretical density	10.1	g/cm3

Structure (POSCAR):
```
Ce2HgOs
1.0
-2.737 0.059 3.046
1.250 -0.358 3.884
0.192 7.418 2.782
Ce Hg Os
2 1 1
Direct
0.065 0.065 0.804 Ce
0.269 0.269 0.194 Ce
0.500 0.500 0.501 Hg
0.666 0.666 0.001 Os
```

No. 5
Entry from Alexandria: an optimized crystal structure of Ce4Hg2Os (PBE).

total magnetic moment	3.640	μB/f.u.
theoretical density	9.2	g/cm3

Structure (POSCAR):
```
Ce4Hg2Os
1.0
-1.812 0.418 -3.413
-0.528 -8.455 -0.754
-5.466 1.908 3.135
Ce Hg Os
4 2 1
Direct
0.500 0.091 0.796 Ce
0.000 0.417 0.225 Ce
0.500 0.051 0.347 Ce
0.000 0.726 0.917 Ce
0.500 0.424 0.676 Hg
0.500 0.719 0.467 Hg
0.000 0.071 0.071 Os
```

No. 6
Entry from Alexandria: an optimized crystal structure of Ce4HgOs2 (PBE).

total magnetic moment	0.861	μB/f.u.
theoretical density	10.9	g/cm3

Structure (POSCAR):
```
Ce4HgOs2
1.0
7.615 -1.198 -0.154
-1.744 7.509 0.154
-2.824 -3.258 6.299
Ce Hg Os
8 2 4
Direct
0.984 0.241 0.394 Ce
0.405 0.511 0.247 Ce
0.847 0.590 0.606 Ce
0.761 0.155 0.747 Ce
0.408 0.014 0.253 Ce
0.264 0.158 0.753 Ce
0.491 0.734 0.894 Ce
0.840 0.597 0.106 Ce
0.251 0.751 0.500 Hg
0.001 0.001 0.000 Hg
0.478 0.374 0.603 Os
0.771 0.875 0.397 Os
0.624 0.228 0.103 Os
0.125 0.522 0.897 Os
```

Calculated uncorrected energy, -24.28, -85.85, -31.23, -24.26, -36.02, -47.78 eV/f.u. (same order as the records).